# 1
TlCoAsAu | the Open Quantum Materials Database | PBE-GGA | optimized geometry; excess energy over the best structure of this formula in the dataset = 0.0 meV per atom; final energy = -3.844 eV per atom; density = 12.09 g cm⁻³; spin magnetization = 1.65 μB per cell; space-group type = F-43m, No. 216
1.0
-2.632 -3.812 0.807
-1.831 -0.732 4.269
-4.632 0.441 0.678
Au As Tl Co
1 1 1 1
Direct
0.750 0.750 0.750
0.000 0.000 0.000
0.500 0.500 0.500
0.250 0.250 0.250



# 2
ZnCoAsAu | the Open Quantum Materials Database | PBE-GGA | optimized geometry; excess energy over the best structure of this formula in the dataset = 8.8 meV per atom; final energy = -3.842 eV per atom; density = 10.84 g cm⁻³; spin magnetization = 0.05 μB per cell; space-group type = F-43m, No. 216
1.0
-1.722 -4.008 0.654
-2.193 -0.877 3.725
-4.374 -0.564 -0.096
Au As Co Zn
1 1 1 1
Direct
0.250 0.250 0.250
0.000 0.000 0.000
0.750 0.750 0.750
0.500 0.500 0.500



# 3
ZnCoAsAu | the Open Quantum Materials Database | PBE-GGA | optimized geometry; excess energy over the best structure of this formula in the dataset = 0.0 meV per atom; final energy = -3.851 eV per atom; density = 10.85 g cm⁻³; spin magnetization = 0.01 μB per cell; space-group type = F-43m, No. 216
1.0
-3.062 -2.353 -2.129
-3.741 1.927 -1.317
-0.727 0.699 -4.293
As Zn Au Co
1 1 1 1
Direct
0.000 0.000 0.000
0.250 0.250 0.250
0.500 0.500 0.500
0.750 0.750 0.750



# 4
CsAsAu | the Open Quantum Materials Database | PBE-GGA | optimized geometry; excess energy over the best structure of this formula in the dataset = 0.0 meV per atom; final energy = -2.530 eV per atom; density = 6.66 g cm⁻³; space-group type = F-43m, No. 216
1.0
0.000 3.695 3.695
3.695 0.000 3.695
3.695 3.695 0.000
As Au Cs
1 1 1
Direct
0.250 0.250 0.250
0.000 0.000 0.000
0.750 0.750 0.750



# 5
Cs3As2Au3 | the Open Quantum Materials Database | PBE-GGA | optimized geometry; final energy = -3.221 eV per atom; density = 6.97 g cm⁻³; space-group type = R-3m, No. 166
1.0
3.316 1.914 7.127
-3.316 1.914 7.127
0.000 -3.829 7.127
Cs Au As
3 3 2
Direct
0.500 0.500 0.500
0.912 0.912 0.912
0.088 0.088 0.088
0.000 0.500 0.500
0.500 0.500 0.000
0.500 0.000 0.500
0.257 0.257 0.257
0.743 0.743 0.743



# 6
CsAs5Au3 | the Open Quantum Materials Database | PBE-GGA | optimized geometry; final energy = -3.588 eV per atom; density = 7.69 g cm⁻³; space-group type = P6/mmm, No. 191
1.0
-3.415 -1.873 -4.638
5.916 1.014 -0.811
1.461 -7.096 1.789
As Au Cs
5 3 1
Direct
0.667 0.333 0.757
0.667 0.333 0.243
0.333 0.667 0.243
0.333 0.667 0.757
0.000 0.000 0.500
0.500 0.000 0.500
0.500 0.500 0.500
0.000 0.500 0.500
0.000 0.000 0.000



# 7
CsAsAu | the Open Quantum Materials Database | PBE-GGA | optimized geometry; excess energy over the best structure of this formula in the dataset = 551.9 meV per atom; final energy = -1.978 eV per atom; density = 5.53 g cm⁻³; space-group type = F-43m, No. 216
1.0
-3.487 -2.900 3.219
-5.290 1.629 0.542
-4.081 -2.990 -2.310
Au Cs As
1 1 1
Direct
0.750 0.750 0.750
0.000 0.000 0.000
0.250 0.250 0.250



# 8
CsAs3Au4 | the Open Quantum Materials Database | PBE-GGA | optimized geometry; final energy = -3.544 eV per atom; density = 9.70 g cm⁻³; space-group type = P4/mmm, No. 123
1.0
-1.153 4.177 0.785
-2.308 -1.298 3.519
8.198 1.171 5.809
As Au Cs
3 4 1
Direct
0.500 0.500 0.709
0.500 0.500 0.291
0.000 0.000 0.000
0.500 0.000 0.838
0.500 0.000 0.162
0.000 0.500 0.162
0.000 0.500 0.838
0.000 0.000 0.500



# 9
Cs4CuAs2Au | the Open Quantum Materials Database | PBE-GGA | optimized geometry; final energy = -2.866 eV per atom; density = 5.28 g cm⁻³; space-group type = C2/m, No. 12
1.0
3.921 -5.608 0.000
3.921 5.608 0.000
-0.054 0.000 6.735
Cs As Cu Au
4 2 1 1
Direct
0.175 0.513 0.250
0.487 0.825 0.750
0.825 0.487 0.750
0.513 0.175 0.250
0.774 0.774 0.267
0.226 0.226 0.733
0.000 0.000 0.500
0.000 0.000 0.000



# 10
CsLiAsAu | the Open Quantum Materials Database | PBE-GGA | optimized geometry; excess energy over the best structure of this formula in the dataset = 0.0 meV per atom; final energy = -2.613 eV per atom; density = 6.69 g cm⁻³; space-group type = F-43m, No. 216
1.0
-1.043 -0.249 5.136
-4.965 0.224 1.683
-2.284 -4.275 2.009
Cs Au Li As
1 1 1 1
Direct
0.000 0.000 0.000
0.750 0.750 0.750
0.250 0.250 0.250
0.500 0.500 0.500



# 11
CsLiAsAu | the Open Quantum Materials Database | PBE-GGA | optimized geometry; excess energy over the best structure of this formula in the dataset = 8.8 meV per atom; final energy = -2.605 eV per atom; density = 6.79 g cm⁻³; space-group type = F-43m, No. 216
1.0
0.000 3.693 3.693
3.693 0.000 3.693
3.693 3.693 0.000
Cs Li As Au
1 1 1 1
Direct
0.250 0.250 0.250
0.500 0.500 0.500
0.000 0.000 0.000
0.750 0.750 0.750



# 12
Cs4AsAu2N | the Open Quantum Materials Database | PBE-GGA | optimized geometry; final energy = -3.009 eV per atom; density = 6.14 g cm⁻³; space-group type = Amm2, No. 38
1.0
-6.016 -3.210 2.279
-0.075 -3.665 -5.360
3.249 -2.522 5.025
Cs N Au As
4 1 2 1
Direct
0.000 0.988 0.328
0.500 0.727 0.063
0.500 0.063 0.727
0.000 0.328 0.988
0.500 0.269 0.269
0.284 0.467 0.467
0.716 0.467 0.467
0.000 0.691 0.691



# 13
Cs4AsPAu2 | the Open Quantum Materials Database | PBE-GGA | optimized geometry; final energy = -2.975 eV per atom; density = 5.70 g cm⁻³; space-group type = Amm2, No. 38
1.0
6.983 0.000 0.000
0.000 5.533 3.888
0.000 -5.533 3.888
Cs P Au As
4 1 2 1
Direct
0.500 0.978 0.321
0.500 0.321 0.978
0.000 0.679 0.023
0.000 0.023 0.679
0.000 0.278 0.278
0.755 0.496 0.496
0.245 0.496 0.496
0.500 0.729 0.729



# 14
CsRbAsAu | the Open Quantum Materials Database | PBE-GGA | optimized geometry; excess energy over the best structure of this formula in the dataset = 0.0 meV per atom; final energy = -2.920 eV per atom; density = 5.82 g cm⁻³; space-group type = P2_1/m, No. 11
1.0
6.610 0.000 0.000
0.000 6.634 0.000
-2.018 0.000 6.377
Au Cs As Rb
2 2 2 2
Direct
0.500 0.500 0.500
0.500 0.000 0.500
0.024 0.250 0.676
0.976 0.750 0.324
0.266 0.250 0.248
0.734 0.750 0.752
0.323 0.750 0.983
0.677 0.250 0.017



# 15
CsRb3As2Au2 | the Open Quantum Materials Database | PBE-GGA | optimized geometry; final energy = -2.933 eV per atom; density = 5.68 g cm⁻³; space-group type = Pm, No. 6
1.0
6.584 0.000 0.000
0.000 6.571 0.000
-1.968 0.000 6.310
As Rb Cs Au
2 3 1 2
Direct
0.259 0.500 0.248
0.745 0.000 0.748
0.676 0.500 0.021
0.325 0.000 0.980
0.979 0.000 0.324
0.022 0.500 0.678
0.498 0.751 0.500
0.498 0.249 0.500



# 16
CsRbAsAu | the Open Quantum Materials Database | PBE-GGA | optimized geometry; excess energy over the best structure of this formula in the dataset = 599.2 meV per atom; final energy = -2.321 eV per atom; density = 5.53 g cm⁻³; space-group type = F-43m, No. 216
1.0
0.000 4.192 4.192
4.192 0.000 4.192
4.192 4.192 0.000
Au As Rb Cs
1 1 1 1
Direct
0.750 0.750 0.750
0.250 0.250 0.250
0.500 0.500 0.500
0.000 0.000 0.000



# 17
CsRbAsAu | the Open Quantum Materials Database | PBE-GGA | optimized geometry; excess energy over the best structure of this formula in the dataset = 3.5 meV per atom; final energy = -2.917 eV per atom; density = 5.80 g cm⁻³; space-group type = Amm2, No. 38
1.0
-6.002 2.857 0.280
-0.557 -1.796 6.385
2.852 6.011 -0.186
Rb As Au Cs
2 2 2 2
Direct
0.500 0.325 0.982
0.500 0.982 0.325
0.500 0.742 0.742
0.000 0.255 0.255
0.749 0.498 0.498
0.251 0.498 0.498
0.000 0.678 0.023
0.000 0.023 0.678



# 18
Cs3RbAs2Au2 | the Open Quantum Materials Database | PBE-GGA | optimized geometry; final energy = -2.907 eV per atom; density = 5.95 g cm⁻³; space-group type = Pm, No. 6
1.0
6.695 0.000 0.000
0.000 6.701 0.000
-2.084 0.000 6.390
As Rb Cs Au
2 1 3 2
Direct
0.740 0.500 0.743
0.266 0.000 0.255
0.675 0.000 0.017
0.020 0.000 0.677
0.323 0.500 0.979
0.977 0.500 0.323
0.500 0.250 0.503
0.500 0.750 0.503



# 19
CsRbAsAu | the Open Quantum Materials Database | PBE-GGA | optimized geometry; excess energy over the best structure of this formula in the dataset = 479.5 meV per atom; final energy = -2.441 eV per atom; density = 6.55 g cm⁻³; space-group type = F-43m, No. 216
1.0
3.001 -3.336 -3.353
3.796 -3.489 2.190
-0.933 -5.524 -0.019
Au Rb Cs As
1 1 1 1
Direct
0.750 0.750 0.750
0.500 0.500 0.500
0.250 0.250 0.250
0.000 0.000 0.000



# 20
CsRbAsAu | the Open Quantum Materials Database | PBE-GGA | optimized geometry; excess energy over the best structure of this formula in the dataset = 477.7 meV per atom; final energy = -2.443 eV per atom; density = 6.54 g cm⁻³; space-group type = F-43m, No. 216
1.0
0.468 -5.515 -0.888
-0.613 -3.587 4.264
-4.539 -3.278 0.275
Rb Au As Cs
1 1 1 1
Direct
0.250 0.250 0.250
0.750 0.750 0.750
0.500 0.500 0.500
0.000 0.000 0.000



# 21
CsRbAsAu | the Open Quantum Materials Database | PBE-GGA | optimized geometry; excess energy over the best structure of this formula in the dataset = 1.0 meV per atom; final energy = -2.919 eV per atom; density = 5.80 g cm⁻³; space-group type = Ama2, No. 40
1.0
-5.079 -0.579 -4.276
-3.937 -2.039 4.952
-2.846 5.391 2.651
Cs As Au Rb
2 2 2 2
Direct
0.750 0.020 0.323
0.250 0.323 0.020
0.750 0.262 0.746
0.250 0.746 0.262
0.500 0.497 0.497
0.000 0.497 0.497
0.750 0.675 0.980
0.250 0.980 0.675



# 22
Cs4SbAsAu2 | the Open Quantum Materials Database | PBE-GGA | optimized geometry; final energy = -2.847 eV per atom; density = 5.83 g cm⁻³; space-group type = Amm2, No. 38
1.0
7.050 0.000 0.000
0.000 5.705 3.976
0.000 -5.705 3.976
Cs As Au Sb
4 1 2 1
Direct
0.000 0.018 0.672
0.500 0.337 0.006
0.000 0.672 0.018
0.500 0.006 0.337
0.000 0.250 0.250
0.231 0.492 0.492
0.769 0.492 0.492
0.500 0.732 0.732



# 23
CuHgAsAu | the Open Quantum Materials Database | PBE-GGA | optimized geometry; excess energy over the best structure of this formula in the dataset = 0.0 meV per atom; final energy = -2.679 eV per atom; density = 12.05 g cm⁻³; space-group type = F-43m, No. 216
1.0
0.000 3.330 3.330
3.330 0.000 3.330
3.330 3.330 0.000
Hg As Au Cu
1 1 1 1
Direct
0.500 0.500 0.500
0.000 0.000 0.000
0.250 0.250 0.250
0.750 0.750 0.750



# 24
KCuAsAu | the Open Quantum Materials Database | PBE-GGA | optimized geometry; excess energy over the best structure of this formula in the dataset = 1.2 meV per atom; final energy = -2.901 eV per atom; density = 7.80 g cm⁻³; space-group type = F-43m, No. 216
1.0
0.187 1.389 4.624
-2.709 -2.248 3.309
2.084 -2.851 3.297
As Cu Au K
1 1 1 1
Direct
0.500 0.500 0.500
0.000 0.000 0.000
0.750 0.750 0.750
0.250 0.250 0.250



# 25
KCuAsAu | the Open Quantum Materials Database | PBE-GGA | optimized geometry; excess energy over the best structure of this formula in the dataset = 64.7 meV per atom; final energy = -2.837 eV per atom; density = 7.62 g cm⁻³; space-group type = F-43m, No. 216
1.0
-0.471 -3.472 -3.381
-3.883 -2.938 0.052
-3.409 0.410 -3.452
Au As K Cu
1 1 1 1
Direct
0.750 0.750 0.750
0.250 0.250 0.250
0.500 0.500 0.500
0.000 0.000 0.000



# 26
KCuAsAu | the Open Quantum Materials Database | PBE-GGA | optimized geometry; excess energy over the best structure of this formula in the dataset = 0.0 meV per atom; final energy = -2.902 eV per atom; density = 7.58 g cm⁻³; space-group type = F-43m, No. 216
1.0
-0.471 -4.389 2.074
-4.439 -1.808 0.901
-1.676 -3.764 -2.610
Cu As K Au
1 1 1 1
Direct
0.250 0.250 0.250
0.000 0.000 0.000
0.500 0.500 0.500
0.750 0.750 0.750



# 27
MgCuAsAu | the Open Quantum Materials Database | PBE-GGA | optimized geometry; excess energy over the best structure of this formula in the dataset = 0.0 meV per atom; final energy = -3.428 eV per atom; density = 8.82 g cm⁻³; space-group type = F-43m, No. 216
1.0
0.000 3.235 3.235
3.235 0.000 3.235
3.235 3.235 0.000
Cu Au Mg As
1 1 1 1
Direct
0.750 0.750 0.750
0.500 0.500 0.500
0.250 0.250 0.250
0.000 0.000 0.000



# 28
CuMoAsAu | the Open Quantum Materials Database | PBE-GGA | optimized geometry; excess energy over the best structure of this formula in the dataset = 0.0 meV per atom; final energy = -5.334 eV per atom; density = 11.44 g cm⁻³; spin magnetization = 0.12 μB per cell; space-group type = F-43m, No. 216
1.0
-4.212 0.833 1.198
-2.980 1.265 -3.064
-3.258 -2.786 -1.224
Mo Au Cu As
1 1 1 1
Direct
0.250 0.250 0.250
0.500 0.500 0.500
0.750 0.750 0.750
0.000 0.000 0.000